# 1
DFT (PBE) results for a relaxed structure of TcB3Sb.

Properties
VASP energy ... -4.181 eV per atom
Crystal system ... cubic

abc: 4.324 4.324 4.324
angles: 90.00 90.00 90.00
Space group Pm-3m (No. 221)
One atom of each set of equivalent atoms:
Tc (0.000, 0.000, 0.000) [1 per cell]
B (0.000, 0.500, 0.500) [3 per cell]
Sb (0.500, 0.500, 0.500) [1 per cell]


# 2
DFT (PBE) results for a relaxed structure of TcBSb3.

Properties
VASP energy ... -4.568 eV per atom
Crystal system ... cubic

abc: 5.124 5.124 5.124
angles: 90.00 90.00 90.00
Space group Pm-3m (No. 221)
One atom of each set of equivalent atoms:
Tc (0.000, 0.000, 0.000) [1 per cell]
B (0.500, 0.500, 0.500) [1 per cell]
Sb (0.000, 0.000, 0.500) [3 per cell]


# 3
DFT (PBE) results for a relaxed structure of TcBSbTe2.

Properties
VASP energy ... -4.342 eV per atom
Crystal system ... tetragonal

abc: 4.752 4.752 4.679
angles: 90.00 90.00 90.00
Space group P4/mmm (No. 123)
One atom of each set of equivalent atoms:
Tc (0.000, 0.000, 0.000) [1 per cell]
B (0.500, 0.500, 0.500) [1 per cell]
Sb (0.500, 0.500, 0.000) [1 per cell]
Te (0.000, 0.500, 0.500) [2 per cell]


# 4
DFT (PBE) results for a relaxed structure of TcBSb2Te.

Properties
VASP energy ... -4.546 eV per atom
Crystal system ... tetragonal

abc: 4.712 4.712 4.753
angles: 90.00 90.00 90.00
Space group P4/mmm (No. 123)
One atom of each set of equivalent atoms:
Tc (0.000, 0.000, 0.000) [1 per cell]
B (0.500, 0.500, 0.500) [1 per cell]
Sb (0.000, 0.500, 0.500) [2 per cell]
Te (0.500, 0.500, 0.000) [1 per cell]


# 5
DFT (PBE) results for a relaxed structure of TcBSb2Te.

Properties
VASP energy ... -4.334 eV per atom
Crystal system ... tetragonal

abc: 5.098 5.098 5.327
angles: 90.00 90.00 90.00
Space group P4/mmm (No. 123)
One atom of each set of equivalent atoms:
Tc (0.000, 0.000, 0.000) [1 per cell]
B (0.500, 0.500, 0.500) [1 per cell]
Sb (0.000, 0.500, 0.000) [2 per cell]
Te (0.000, 0.000, 0.500) [1 per cell]


# 6
DFT (PBE) results for a relaxed structure of TcBSbTe2.

Properties
VASP energy ... -4.120 eV per atom
Crystal system ... tetragonal

abc: 5.251 5.251 5.105
angles: 90.00 90.00 90.00
Space group P4/mmm (No. 123)
One atom of each set of equivalent atoms:
Tc (0.000, 0.000, 0.000) [1 per cell]
B (0.500, 0.500, 0.500) [1 per cell]
Sb (0.000, 0.000, 0.500) [1 per cell]
Te (0.000, 0.500, 0.000) [2 per cell]